Density functional theory data (PBE) for a relaxed SrCrOs2 crystal.

The structure in CIF format:
```
data_SrCrOs2
_chemical_formula_sum 'Sr1 Cr1 Os2'
_cell_length_a 5.663
_cell_length_b 5.663
_cell_length_c 5.663
_cell_angle_alpha 150.71
_cell_angle_beta 128.93
_cell_angle_gamma 59.96
_space_group_name_H-M_alt 'P 1'
_space_group_IT_number 1
loop_
_space_group_symop_operation_xyz
'x,y,z'
loop_
_atom_site_label
_atom_site_fract_x
_atom_site_fract_y
_atom_site_fract_z
_atom_site_occupancy
Os1 0.465 0.465 0.000 1
Os2 0.035 0.035 0.000 1
Sr1 0.750 0.250 0.500 1
Cr1 0.250 0.750 0.500 1
```

Density of states at the Fermi level   3.73 states/eV/f.u.
E_tot   -7.592 eV per atom
Excess energy over the best structure of this formula in the dataset   277 meV/atom
Magnetic moment   0.429 μB per atom